GdCo9Si4: single point on PBEsol structure, SCAN.

abc: 7.787 7.787 7.787
angles: 121.45 121.45 87.50
Atoms (fractional coordinates):
Gd (0.250, 0.250, 0.000)
Gd (0.750, 0.750, 0.000)
Co (0.000, 0.500, 0.500)
Co (0.051, 0.551, 0.242)
Co (0.071, 0.800, 0.871)
Co (0.191, 0.949, 0.500)
Co (0.200, 0.071, 0.271)
Co (0.300, 0.571, 0.871)
Co (0.309, 0.809, 0.758)
Co (0.429, 0.300, 0.729)
Co (0.449, 0.691, 0.500)
Co (0.500, 0.000, 0.500)
Co (0.551, 0.309, 0.500)
Co (0.571, 0.700, 0.271)
Co (0.691, 0.191, 0.242)
Co (0.700, 0.429, 0.129)
Co (0.800, 0.929, 0.729)
Co (0.809, 0.051, 0.500)
Co (0.929, 0.200, 0.129)
Co (0.949, 0.449, 0.758)
Si (0.049, 0.209, 0.500)
Si (0.209, 0.709, 0.160)
Si (0.291, 0.451, 0.500)
Si (0.451, 0.951, 0.160)
Si (0.549, 0.049, 0.840)
Si (0.709, 0.549, 0.500)
Si (0.791, 0.291, 0.840)
Si (0.951, 0.791, 0.500)

Properties
Its density of states at the Fermi level is 17.7 states/eV/cell. Its total magnetization is 14.8 μB/f.u. As for the total energy: -18.589 eV per atom. As for the raw formation energy: -5.6 eV/f.u.

---

TlZnSnC2: single point on PBEsol structure, SCAN.

abc: 4.109 4.109 5.334
angles: 90.00 90.00 90.00
Atoms (fractional coordinates):
Tl (0.000, 0.000, 0.000)
Zn (0.000, 0.000, 0.500)
Sn (0.500, 0.500, 0.000)
C (0.000, 0.500, 0.500)
C (0.500, 0.000, 0.500)

Properties
Its density of states at the Fermi level is 2.3 states/eV/cell. Its total magnetization is 1.0 μB/f.u. As for the total energy: -26.328 eV per atom. The calculation puts the formation energy at 2071 meV per atom.

---

KRu2Se: single point on PBEsol structure, SCAN.

abc: 2.681 4.949 5.330
angles: 90.00 90.00 90.00
Atoms (fractional coordinates):
K (0.000, 0.000, 0.000)
Ru (0.000, 0.500, 0.500)
Ru (0.500, 0.000, 0.500)
Se (0.500, 0.500, 0.000)

Properties
Its density of states at the Fermi level is 3.3 states/eV/cell. Its total magnetization is 2.9 μB/f.u. As for the total energy: -23.544 eV per atom. As for the raw formation energy: 3.9 eV/f.u.

---

Li4Ti9O20: single point on PBEsol structure, SCAN.

abc: 10.177 10.177 10.177
angles: 99.85 99.85 131.14
Atoms (fractional coordinates):
Li (0.165, 0.249, 0.325)
Li (0.251, 0.076, 0.916)
Li (0.340, 0.665, 0.416)
Li (0.424, 0.840, 0.175)
Li (0.576, 0.160, 0.825)
Li (0.660, 0.335, 0.584)
Li (0.749, 0.924, 0.084)
Li (0.835, 0.751, 0.675)
Ti (0.082, 0.168, 0.783)
Ti (0.115, 0.701, 0.283)
Ti (0.130, 0.716, 0.808)
Ti (0.178, 0.370, 0.087)
Ti (0.201, 0.418, 0.587)
Ti (0.216, 0.909, 0.587)
Ti (0.332, 0.615, 0.913)
Ti (0.375, 0.125, 0.250)
Ti (0.409, 0.322, 0.692)
Ti (0.591, 0.678, 0.308)
Ti (0.625, 0.875, 0.750)
Ti (0.668, 0.385, 0.087)
Ti (0.784, 0.091, 0.413)
Ti (0.799, 0.582, 0.413)
Ti (0.822, 0.630, 0.913)
Ti (0.870, 0.284, 0.192)
Ti (0.885, 0.299, 0.717)
Ti (0.918, 0.832, 0.217)
O (0.034, 0.819, 0.392)
O (0.035, 0.324, 0.406)
O (0.043, 0.814, 0.889)
O (0.073, 0.358, 0.892)
O (0.129, 0.535, 0.211)
O (0.142, 0.534, 0.715)
O (0.158, 0.059, 0.241)
O (0.176, 0.082, 0.711)
O (0.197, 0.225, 0.977)
O (0.252, 0.781, 0.477)
O (0.275, 0.752, 0.971)
O (0.281, 0.303, 0.529)
O (0.314, 0.925, 0.771)
O (0.317, 0.916, 0.259)
O (0.319, 0.427, 0.785)
O (0.346, 0.457, 0.271)
O (0.416, 0.658, 0.599)
O (0.418, 0.629, 0.094)
O (0.425, 0.154, 0.611)
O (0.441, 0.183, 0.099)
O (0.559, 0.817, 0.901)
O (0.575, 0.846, 0.389)
O (0.582, 0.371, 0.906)
O (0.584, 0.342, 0.401)
O (0.654, 0.543, 0.729)
O (0.681, 0.573, 0.215)
O (0.683, 0.084, 0.741)
O (0.686, 0.075, 0.229)
O (0.719, 0.697, 0.471)
O (0.725, 0.248, 0.029)
O (0.748, 0.219, 0.523)
O (0.803, 0.775, 0.023)
O (0.824, 0.918, 0.289)
O (0.842, 0.941, 0.759)
O (0.858, 0.466, 0.285)
O (0.871, 0.465, 0.789)
O (0.927, 0.642, 0.108)
O (0.957, 0.186, 0.111)
O (0.965, 0.676, 0.594)
O (0.966, 0.181, 0.608)

Properties
Its density of states at the Fermi level is 0.0 states/eV/cell. Its total magnetization is 0.0 μB/f.u. As for the total energy: -11.566 eV per atom. As for the raw formation energy: -103.2 eV/f.u.

---

KYNi2: single point on PBEsol structure, SCAN.

abc: 3.927 3.885 13.050
angles: 90.00 90.00 90.00
Atoms (fractional coordinates):
K (0.000, 0.000, 0.000)
K (0.000, 0.500, 0.500)
Y (0.500, 0.000, 0.267)
Y (0.500, 0.500, 0.767)
Ni (0.000, 0.000, 0.717)
Ni (0.000, 0.500, 0.217)
Ni (0.500, 0.000, 0.632)
Ni (0.500, 0.500, 0.132)

Properties
Its density of states at the Fermi level is 5.7 states/eV/cell. Its total magnetization is 0.0 μB/f.u. As for the total energy: -16.911 eV per atom. The calculation puts the formation energy at 218 meV per atom.

---

CrInC2: single point on PBEsol structure, SCAN.

abc: 4.791 4.791 9.154
angles: 90.00 90.00 90.00
Atoms (fractional coordinates):
Cr (0.000, 0.000, 0.000)
Cr (0.000, 0.500, 0.250)
Cr (0.500, 0.000, 0.750)
Cr (0.500, 0.500, 0.500)
In (0.000, 0.000, 0.500)
In (0.000, 0.500, 0.750)
In (0.500, 0.000, 0.250)
In (0.500, 0.500, 0.000)
C (0.181, 0.250, 0.125)
C (0.250, 0.681, 0.375)
C (0.250, 0.819, 0.875)
C (0.319, 0.250, 0.625)
C (0.681, 0.750, 0.625)
C (0.750, 0.181, 0.875)
C (0.750, 0.319, 0.375)
C (0.819, 0.750, 0.125)

Properties
Its density of states at the Fermi level is 5.2 states/eV/cell. Its total magnetization is 1.0 μB/f.u. As for the total energy: -17.247 eV per atom. The calculation puts the formation energy at 746 meV per atom.